Record 1
The following is a PBE calculation of an optimized crystal structure of Hf5ZnCo, from Alexandria via LeMat-Bulk.

It has space group C2/c (No. 15), with a = 7.757 Å, b = 7.111 Å, c = 10.378 Å, α = 90.00°, β = 105.25° and γ = 90.00°. The distinct sites, in fractional coordinates, are Hf at (0.000, 0.004, 0.250), Hf at (0.130, 0.353, 0.061), Hf at (0.238, 0.324, 0.373), Zn at (0.000, 0.388, 0.750) and Co at (0.000, 0.000, 0.000).

The calculation puts the calculated formation energy at 0.4 kcal/mol of atoms. For the density of states at the Fermi level, the calculation gives 1.011 states/eV/atom. For the energy, the calculation gives -232.09 eV for the cell shown.



Record 2
The following is a PBE calculation of an optimized crystal structure of Sr3Tb2DyTe6, from Alexandria via LeMat-Bulk.

It has space group C2/m (No. 12), with a = 7.785 Å, b = 13.466 Å, c = 7.981 Å, α = 90.00°, β = 108.98° and γ = 90.00°. The distinct sites, in fractional coordinates, are Sr at (0.000, 0.000, 0.000), Sr at (0.000, 0.333, 0.000), Tb at (0.000, 0.166, 0.500), Dy at (0.000, 0.500, 0.500), Te at (0.243, 0.334, 0.731) and Te at (0.245, 0.000, 0.732).

For the density of states at the Fermi level, the calculation gives 0.429 states/eV/atom. For the energy, the calculation gives -111.48 eV for the cell shown. Its formation energy from raw total energies is -18.0 eV/f.u.



Record 3
The following is a PBE calculation of an optimized crystal structure of HfZrH2, from Alexandria via LeMat-Bulk.

It has space group P6_3/mmc (No. 194), with a = 3.2036 Å, b = 3.2036 Å, c = 10.6746 Å, α = 90.00°, β = 90.00° and γ = 120.00°. The distinct sites, in fractional coordinates, are Hf at (0.0000, 0.0000, 0.0000), Zr at (0.3333, 0.6667, 0.2500) and H at (0.3333, 0.6667, 0.6210).

For the density of states at the Fermi level, the calculation gives 0.662 states/eV/atom. For the energy, the calculation gives -52.58 eV for the cell shown. For the energy above the most stable polymorph in this dataset, the calculation gives 6.09 kJ per mole of atoms.



Record 4
The following is a PBE calculation of an optimized crystal structure of HgSb2Se4, from Alexandria via LeMat-Bulk.

It has space group Cmcm (No. 63), with a = 4.097 Å, b = 13.200 Å, c = 14.145 Å, α = 90.00°, β = 90.00° and γ = 90.00°. The distinct sites, in fractional coordinates, are Hg at (0.000, 0.094, 0.250), Sb at (0.000, 0.363, 0.063), Se at (0.000, 0.000, 0.000), Se at (0.000, 0.273, 0.623) and Se at (0.000, 0.461, 0.250).

For the density of states at the Fermi level, the calculation gives 0.245 states/eV/atom. For the energy, the calculation gives -93.88 eV for the cell shown. Its formation energy from raw total energies is -1.0 eV/f.u. For the energy above the most stable polymorph in this dataset, the calculation gives 5.10 kJ per mole of atoms.



Record 5
The following is a PBE calculation of an optimized crystal structure of BiMoSeN2, from Alexandria via LeMat-Bulk.

It has space group P4/mmm (No. 123), with a = 4.259 Å, b = 4.259 Å, c = 5.743 Å, α = 90.00°, β = 90.00° and γ = 90.00°. The distinct sites, in fractional coordinates, are Bi at (0.000, 0.000, 0.000), Mo at (0.500, 0.500, 0.500), Se at (0.000, 0.000, 0.500) and N at (0.000, 0.500, 0.000).

For the density of states at the Fermi level, the calculation gives 0.708 states/eV/atom. For the energy, the calculation gives -25.31 eV for the cell shown. Its formation energy from raw total energies is 9.5 eV/f.u. For the energy above the most stable polymorph in this dataset, the calculation gives 137.67 kJ per mole of atoms.



Record 6
The following is a PBE calculation of an optimized crystal structure of NdRh7O12, from Alexandria via LeMat-Bulk.

It has space group Im-3 (No. 204), with a = 7.666 Å, b = 7.666 Å, c = 7.666 Å, α = 90.00°, β = 90.00° and γ = 90.00°. The distinct sites, in fractional coordinates, are Nd at (0.000, 0.000, 0.000), Rh at (0.000, 0.000, 0.500), Rh at (0.250, 0.250, 0.250) and O at (0.000, 0.171, 0.303).

For the density of states at the Fermi level, the calculation gives 0.505 states/eV/atom. For the energy, the calculation gives -268.93 eV for the cell shown. Its formation energy from raw total energies is -18.7 eV/f.u.



Record 7
The following is a PBE calculation of an optimized crystal structure of Sc2Co2Ag, from Alexandria via LeMat-Bulk.

It has space group I4/mmm (No. 139), with a = 4.824 Å, b = 4.824 Å, c = 7.557 Å, α = 90.00°, β = 90.00° and γ = 90.00°. The distinct sites, in fractional coordinates, are Sc at (0.000, 0.500, 0.250), Co at (0.000, 0.000, 0.147) and Ag at (0.000, 0.000, 0.500).

The calculation puts the calculated formation energy at 1.1 kcal/mol of atoms. For the density of states at the Fermi level, the calculation gives 0.563 states/eV/atom. For the energy, the calculation gives -58.99 eV for the cell shown. For the energy above the most stable polymorph in this dataset, the calculation gives 26.09 kJ per mole of atoms.



Record 8
The following is a PBE calculation of an optimized crystal structure of MoIrRu2, from Alexandria via LeMat-Bulk.

It has space group Cm (No. 8), with a = 7.237 Å, b = 4.614 Å, c = 4.715 Å, α = 90.00°, β = 130.14° and γ = 90.00°. The distinct sites, in fractional coordinates, are Mo at (0.000, 0.000, 0.000), Ir at (0.247, 0.000, 0.772), Ru at (0.255, 0.500, 0.290) and Ru at (0.494, 0.000, 0.482).

The calculation puts the calculated formation energy at 6.5 kcal/mol of atoms. For the density of states at the Fermi level, the calculation gives 1.364 states/eV/atom. For the energy, the calculation gives -74.22 eV for the cell shown. For the energy above the most stable polymorph in this dataset, the calculation gives 43.45 kJ per mole of atoms.



Record 9
The following is a PBE calculation of an optimized crystal structure of Dy3YTe4, from Alexandria via LeMat-Bulk.

It has space group Cmmm (No. 65), with a = 8.815 Å, b = 12.326 Å, c = 4.306 Å, α = 90.00°, β = 90.00° and γ = 90.00°. The distinct sites, in fractional coordinates, are Dy at (0.000, 0.000, 0.000), Dy at (0.250, 0.250, 0.500), Y at (0.000, 0.500, 0.000), Te at (0.000, 0.250, 0.000) and Te at (0.249, 0.000, 0.500).

For the density of states at the Fermi level, the calculation gives 0.631 states/eV/atom. For the energy, the calculation gives -86.24 eV for the cell shown. Its formation energy from raw total energies is -10.3 eV/f.u.



Record 10
The following is a PBE calculation of an optimized crystal structure of PmLuSbPd, from Alexandria via LeMat-Bulk.

It has space group F-43m (No. 216), with a = 7.308 Å, b = 7.308 Å, c = 7.308 Å, α = 90.00°, β = 90.00° and γ = 90.00°. The distinct sites, in fractional coordinates, are Pm at (0.000, 0.000, 0.000), Lu at (0.000, 0.000, 0.500), Sb at (0.250, 0.250, 0.250) and Pd at (0.250, 0.250, 0.750).

For the density of states at the Fermi level, the calculation gives 1.065 states/eV/atom. For the energy, the calculation gives -86.17 eV for the cell shown. Its formation energy from raw total energies is -3.0 eV/f.u.



Record 11
The following is a PBE calculation of an optimized crystal structure of Mg2InSiB, from Alexandria via LeMat-Bulk.

It has space group P4/mmm (No. 123), with a = 5.468 Å, b = 5.468 Å, c = 4.062 Å, α = 90.00°, β = 90.00° and γ = 90.00°. The distinct sites, in fractional coordinates, are Mg at (0.000, 0.500, 0.000), In at (0.000, 0.000, 0.000), Si at (0.500, 0.500, 0.500) and B at (0.000, 0.000, 0.500).

For the density of states at the Fermi level, the calculation gives 0.763 states/eV/atom. For the energy, the calculation gives -12.22 eV for the cell shown. Its formation energy from raw total energies is 5.8 eV/f.u.



Record 12
The following is a PBE calculation of an optimized crystal structure of PrEr7Al4, from Alexandria via LeMat-Bulk.

It has space group C2/m (No. 12), with a = 13.806 Å, b = 5.488 Å, c = 10.373 Å, α = 90.00°, β = 124.57° and γ = 90.00°. The distinct sites, in fractional coordinates, are Pr at (0.000, 0.000, 0.000), Er at (0.000, 0.500, 0.000), Er at (0.066, 0.000, 0.392), Er at (0.200, 0.500, 0.642), Er at (0.213, 0.000, 0.876), Al at (0.055, 0.500, 0.764) and Al at (0.178, 0.500, 0.332).

The calculation puts the calculated formation energy at -1.1 kcal/mol of atoms. For the density of states at the Fermi level, the calculation gives 1.030 states/eV/atom. For the energy, the calculation gives -104.57 eV for the cell shown.



Record 13
The following is a PBE calculation of an optimized crystal structure of Tb4Er3Th2, from Alexandria via LeMat-Bulk.

It has space group C2/c (No. 15), with a = 16.115 Å, b = 11.675 Å, c = 6.116 Å, α = 90.00°, β = 97.47° and γ = 90.00°. The distinct sites, in fractional coordinates, are Tb at (0.050, 0.138, 0.017), Tb at (0.217, 0.364, 0.846), Er at (0.000, 0.392, 0.750), Er at (0.168, 0.106, 0.585) and Th at (0.112, 0.361, 0.313).

The calculation puts the calculated formation energy at 2.7 kcal/mol of atoms. For the density of states at the Fermi level, the calculation gives 1.440 states/eV/atom. For the energy, the calculation gives -183.98 eV for the cell shown.



Record 14
The following is a PBE calculation of an optimized crystal structure of Na2AgAu2, from Alexandria via LeMat-Bulk.

It has space group Immm (No. 71), with a = 4.773 Å, b = 5.569 Å, c = 8.662 Å, α = 90.00°, β = 90.00° and γ = 90.00°. The distinct sites, in fractional coordinates, are Na at (0.000, 0.000, 0.191), Ag at (0.000, 0.500, 0.000) and Au at (0.000, 0.257, 0.500).

The calculation puts the calculated formation energy at -5.9 kcal/mol of atoms. For the density of states at the Fermi level, the calculation gives 0.217 states/eV/atom. For the energy, the calculation gives -26.66 eV for the cell shown. For the energy above the most stable polymorph in this dataset, the calculation gives 0.00 kJ per mole of atoms.



Record 15
The following is a PBE calculation of an optimized crystal structure of ZrInAg2N, from Alexandria via LeMat-Bulk.

It has space group P4/mmm (No. 123), with a = 5.616 Å, b = 5.616 Å, c = 4.017 Å, α = 90.00°, β = 90.00° and γ = 90.00°. The distinct sites, in fractional coordinates, are Zr at (0.000, 0.000, 0.000), In at (0.500, 0.500, 0.500), Ag at (0.000, 0.500, 0.000) and N at (0.000, 0.000, 0.500).

For the density of states at the Fermi level, the calculation gives 0.422 states/eV/atom. For the energy, the calculation gives -22.82 eV for the cell shown. Its formation energy from raw total energies is 2.5 eV/f.u.



Record 16
The following is a PBE calculation of an optimized crystal structure of Ba2MgHgIr, from Alexandria via LeMat-Bulk.

It has space group P4/mmm (No. 123), with a = 6.082 Å, b = 6.082 Å, c = 5.081 Å, α = 90.00°, β = 90.00° and γ = 90.00°. The distinct sites, in fractional coordinates, are Ba at (0.000, 0.500, 0.000), Mg at (0.000, 0.000, 0.500), Hg at (0.500, 0.500, 0.500) and Ir at (0.000, 0.000, 0.000).

The calculation puts the calculated formation energy at -4.6 kcal/mol of atoms. For the density of states at the Fermi level, the calculation gives 0.722 states/eV/atom. For the energy, the calculation gives -15.61 eV for the cell shown.



Record 17
The following is a PBE calculation of an optimized crystal structure of TmZrSn2, from Alexandria via LeMat-Bulk.

It has space group P4/mmm (No. 123), with a = 4.668 Å, b = 4.668 Å, c = 4.368 Å, α = 90.00°, β = 90.00° and γ = 90.00°. The distinct sites, in fractional coordinates, are Tm at (0.000, 0.000, 0.000), Zr at (0.500, 0.500, 0.000) and Sn at (0.000, 0.500, 0.500).

The calculation puts the calculated formation energy at -10.4 kcal/mol of atoms. For the density of states at the Fermi level, the calculation gives 0.843 states/eV/atom. For the energy, the calculation gives -22.83 eV for the cell shown. For the energy above the most stable polymorph in this dataset, the calculation gives 0.00 kJ per mole of atoms.



Record 18
The following is a PBE calculation of an optimized crystal structure of CaPuP2N6, from Alexandria via LeMat-Bulk.

It has space group C2/c (No. 15), with a = 10.450 Å, b = 9.810 Å, c = 5.486 Å, α = 90.00°, β = 109.58° and γ = 90.00°. The distinct sites, in fractional coordinates, are Ca at (0.000, 0.093, 0.250), Pu at (0.000, 0.290, 0.750), P at (0.213, 0.422, 0.173), N at (0.108, 0.289, 0.121), N at (0.128, 0.114, 0.696) and N at (0.164, 0.470, 0.859).

For the density of states at the Fermi level, the calculation gives 0.460 states/eV/atom. For the energy, the calculation gives -333.85 eV for the cell shown. Its formation energy from raw total energies is -6.4 eV/f.u.



Record 19
The following is a PBE calculation of an optimized crystal structure of TePbW2, from Alexandria via LeMat-Bulk.

It has space group Pmmm (No. 47), with a = 3.310 Å, b = 4.577 Å, c = 5.414 Å, α = 90.00°, β = 90.00° and γ = 90.00°. The distinct sites, in fractional coordinates, are Te at (0.000, 0.000, 0.000), Pb at (0.500, 0.000, 0.500), W at (0.000, 0.500, 0.500) and W at (0.500, 0.500, 0.000).

For the density of states at the Fermi level, the calculation gives 1.072 states/eV/atom. For the energy, the calculation gives -27.57 eV for the cell shown. Its formation energy from raw total energies is 5.2 eV/f.u. For the energy above the most stable polymorph in this dataset, the calculation gives 83.53 kJ per mole of atoms.



Record 20
The following is a PBE calculation of an optimized crystal structure of Cs2RbBBr6, from Alexandria via LeMat-Bulk.

It has space group I4/mmm (No. 139), with a = 7.952 Å, b = 7.952 Å, c = 11.408 Å, α = 90.00°, β = 90.00° and γ = 90.00°. The distinct sites, in fractional coordinates, are Cs at (0.000, 0.500, 0.250), Rb at (0.000, 0.000, 0.000), B at (0.000, 0.000, 0.500), Br at (0.000, 0.000, 0.289) and Br at (0.207, 0.207, 0.500).

For the density of states at the Fermi level, the calculation gives 0.000 states/eV/atom. For the energy, the calculation gives -57.70 eV for the cell shown. Its formation energy from raw total energies is -9.5 eV/f.u.